Below is a geometry-optimized Ti2AlO5 structure, with properties calculated at the PBE-GGA level.

Unit cell a=3.7453 b=5.2412 c=9.7209 alpha=90.00 beta=90.00 gamma=110.93
Site moments in Bohr magnetons follow the coordinates.
Element x y z (fractional)
1 Ti 0.8680 0.7360 0.4311  0.45
2 Ti 0.8680 0.7360 0.0689  0.45
3 Ti 0.1320 0.2640 0.5689  0.45
4 Ti 0.1320 0.2640 0.9311  0.45
5 Al 0.8085 0.6171 0.7500  0.01
6 Al 0.1915 0.3829 0.2500  0.01
7 O 0.9463 0.8926 0.8819  -0.01
8 O 0.9463 0.8926 0.6181  -0.01
9 O 0.3124 0.6249 0.4144  -0.01
10 O 0.3124 0.6249 0.0856  -0.01
11 O 0.7417 0.4833 0.2500  0.00
12 O 0.2583 0.5167 0.7500  0.00
13 O 0.6876 0.3751 0.5856  -0.01
14 O 0.6876 0.3751 0.9144  -0.01
15 O 0.0537 0.1074 0.1181  -0.01
16 O 0.0537 0.1074 0.3819  -0.01

## Properties
Space group: Cmcm
Spin magnetization (μB per atom): 0.122
Formation energy from raw total energies (meV/atom): -2965